VASP calculation (PBE with a Hubbard U) on crystalline Na3CrH14C6O16 at its relaxed geometry.

- DOS at the Fermi energy (states/eV per atom) = 0.000
- size of the total moment (μB per cell) = 2.75
- electronic total energy (eV/atom) = -5.98
- mass density (g/cm³) = 1.80
- crystal system = triclinic
- symmetry = P-1

a b c (Å): 6.529 7.741 8.839
angles (deg): 78.61 83.12 78.50
Each line ends with the local moment (μB).
Atoms (fractional coordinates):
1 Na 0.000 0.500 0.500  0.00
2 Na 0.293 0.549 0.131  0.00
3 Na 0.707 0.451 0.869  0.00
4 Cr 0.000 0.000 0.000  2.98
5 H 0.049 0.257 0.251  0.00
6 H 0.951 0.743 0.749  0.00
7 H 0.891 0.439 0.209  0.00
8 H 0.109 0.561 0.791  0.00
9 H 0.453 0.319 0.585  0.00
10 H 0.547 0.681 0.415  0.00
11 H 0.392 0.270 0.435  0.00
12 H 0.608 0.730 0.565  0.00
13 H 0.397 0.154 0.959  0.00
14 H 0.603 0.846 0.041  0.00
15 H 0.302 0.981 0.710  -0.01
16 H 0.698 0.019 0.290  -0.01
17 H 0.211 0.957 0.416  -0.01
18 H 0.789 0.043 0.584  -0.01
19 C 0.272 0.269 0.923  0.01
20 C 0.728 0.731 0.077  0.01
21 C 0.365 0.863 0.796  0.01
22 C 0.635 0.137 0.204  0.01
23 C 0.189 0.897 0.316  0.01
24 C 0.811 0.103 0.684  0.01
25 O 0.089 0.237 0.914  -0.03
26 O 0.911 0.763 0.086  -0.03
27 O 0.317 0.424 0.891  -0.01
28 O 0.683 0.576 0.109  -0.01
29 O 0.275 0.850 0.935  -0.03
30 O 0.725 0.150 0.065  -0.03
31 O 0.519 0.752 0.756  -0.03
32 O 0.481 0.248 0.244  -0.03
33 O 0.100 0.015 0.206  -0.03
34 O 0.900 0.985 0.794  -0.03
35 O 0.251 0.734 0.319  -0.01
36 O 0.749 0.266 0.681  -0.01
37 O 0.015 0.381 0.268  0.00
38 O 0.985 0.619 0.732  0.00
39 O 0.333 0.298 0.538  -0.01
40 O 0.667 0.702 0.462  -0.01